[1]
First-principles (GGA-PBE) data for an optimized crystal structure of LiAcYAu, as listed in Alexandria. Values from VASP.

```
&SYSTEM
  ibrav = 0, nat = 4, ntyp = 4
/
ATOMIC_SPECIES
Au 196.97 Au.upf
Y 88.91 Y.upf
Ac 227.00 Ac.upf
Li 6.94 Li.upf
CELL_PARAMETERS angstrom
-5.0797 1.0681 -1.3916
-3.9321 -3.3981 1.3683
-3.5771 1.4027 3.7573
ATOMIC_POSITIONS crystal
Au 0.0000 0.0000 0.0000
Y 0.7500 0.7500 0.7500
Ac 0.2500 0.2500 0.2500
Li 0.5000 0.5000 0.5000
```

For the density of states at the Fermi level, the calculation gives 1.0060 states/eV per atom. As for the volume: 110 Å³ per cell. The calculation puts the size of the total moment at 0.00 μB/cell. The value obtained for the mass density is 7.9 g cm⁻³. For the formation energy, the calculation gives -0.32 eV per atom.

=====

[2]
First-principles (GGA-PBE) data for an optimized crystal structure of K2CdRhN, as listed in Alexandria. Values from VASP.

```
&SYSTEM
  ibrav = 0, nat = 5, ntyp = 4
/
ATOMIC_SPECIES
K 39.10 K.upf
N 14.01 N.upf
Rh 102.91 Rh.upf
Cd 112.41 Cd.upf
CELL_PARAMETERS angstrom
5.9744 0.0000 0.0000
0.0000 5.9744 0.0000
0.0000 0.0000 3.7431
ATOMIC_POSITIONS crystal
K 0.0000 0.5000 0.0000
K 0.5000 0.0000 0.0000
N 0.0000 0.0000 0.0000
Rh 0.0000 0.0000 0.5000
Cd 0.5000 0.5000 0.5000
```

For the density of states at the Fermi level, the calculation gives 0.3680 states/eV per atom. As for the volume: 134 Å³ per cell. The value obtained for the raw formation energy is 42 meV/atom. The calculation puts the size of the total moment at 0.00 μB/cell. The value obtained for the mass density is 3.8 g cm⁻³.